Material: Sn3SbPb6
Method: DFT, PBE-GGA
State: optimized geometry

Properties
Its crystal system is monoclinic. The value obtained for the uncorrected formation energy is 0.74 eV per formula unit. The mass density is 9.12 g/cm3. As for the space group: No. 14.

a b c (Å): 9.2361 7.3029 13.0594
angles (deg): 90.00 134.64 90.00
Element x y z (fractional)
Sn (0.0000, 0.0000, 0.0000)
Sn (0.0000, 0.5000, 0.5000)
Sn (0.2789, 0.2201, 0.5299)
Sn (0.2789, 0.2799, 0.0299)
Sn (0.7211, 0.7201, 0.9701)
Sn (0.7211, 0.7799, 0.4701)
Sb (0.5000, 0.0000, 0.0000)
Sb (0.5000, 0.5000, 0.5000)
Pb (0.0923, 0.7111, 0.8395)
Pb (0.0923, 0.7889, 0.3395)
Pb (0.2202, 0.6146, 0.1666)
Pb (0.2202, 0.8854, 0.6666)
Pb (0.3871, 0.1075, 0.3347)
Pb (0.3871, 0.3925, 0.8347)
Pb (0.6129, 0.6075, 0.1653)
Pb (0.6129, 0.8925, 0.6653)
Pb (0.7798, 0.1146, 0.3334)
Pb (0.7798, 0.3854, 0.8334)
Pb (0.9077, 0.2111, 0.6605)
Pb (0.9077, 0.2889, 0.1605)

Material: Sn2Sb4Pb5
Method: DFT, PBE-GGA
State: optimized geometry

Properties
Its crystal system is monoclinic. The value obtained for the uncorrected formation energy is 0.94 eV per formula unit. The mass density is 7.61 g/cm3. As for the space group: No. 12.

a b c (Å): 8.4450 8.4450 8.7696
angles (deg): 97.09 97.09 38.29
Element x y z (fractional)
Sn (0.0723, 0.0723, 0.3923)
Sn (0.9277, 0.9277, 0.6077)
Sb (0.2034, 0.2034, 0.1832)
Sb (0.4898, 0.4898, 0.2473)
Sb (0.5102, 0.5102, 0.7527)
Sb (0.7966, 0.7966, 0.8168)
Pb (0.0000, 0.0000, 0.0000)
Pb (0.3478, 0.3478, 0.9611)
Pb (0.3488, 0.3488, 0.4630)
Pb (0.6512, 0.6512, 0.5370)
Pb (0.6522, 0.6522, 0.0389)

Material: SnSb2Pb8
Method: DFT, PBE-GGA
State: optimized geometry

Properties
Its crystal system is triclinic. The value obtained for the uncorrected formation energy is 0.49 eV per formula unit. The energy above the most stable polymorph in this dataset comes out at 0 meV per atom. The mass density is 9.88 g/cm3. As for the space group: No. 2.

a b c (Å): 5.2349 7.8169 9.1199
angles (deg): 72.23 73.52 89.44
Element x y z (fractional)
Sn (0.0000, 0.0000, 0.0000)
Sb (0.2831, 0.3398, 0.4394)
Sb (0.7169, 0.6602, 0.5606)
Pb (0.0930, 0.4467, 0.8096)
Pb (0.1752, 0.9069, 0.6453)
Pb (0.3533, 0.7913, 0.2913)
Pb (0.4566, 0.2652, 0.0841)
Pb (0.5434, 0.7348, 0.9159)
Pb (0.6467, 0.2087, 0.7087)
Pb (0.8248, 0.0931, 0.3547)
Pb (0.9070, 0.5533, 0.1904)

Material: Sn2SbPb
Method: DFT, PBE-GGA
State: optimized geometry

Properties
Its crystal system is trigonal. The value obtained for the uncorrected formation energy is 0.30 eV per formula unit. The energy above the most stable polymorph in this dataset comes out at 0 meV per atom. The mass density is 7.64 g/cm3. As for the space group: No. 166.

a b c (Å): 7.9378 7.9378 7.9378
angles (deg): 31.77 31.77 31.77
Element x y z (fractional)
Sn (0.2450, 0.2450, 0.2450)
Sn (0.7550, 0.7550, 0.7550)
Sb (0.5000, 0.5000, 0.5000)
Pb (0.0000, 0.0000, 0.0000)

Material: SnSbPb3
Method: DFT, PBE-GGA
State: optimized geometry

Properties
Its crystal system is orthorhombic. The value obtained for the uncorrected formation energy is 0.74 eV per formula unit. The energy above the most stable polymorph in this dataset comes out at 100 meV per atom. The mass density is 8.46 g/cm3. As for the space group: No. 46.

a b c (Å): 7.6574 7.6574 7.6574
angles (deg): 99.68 114.24 114.92
Element x y z (fractional)
Sn (0.2175, 0.2500, 0.4675)
Sn (0.7825, 0.7500, 0.5325)
Sb (0.2437, 0.5287, 0.2150)
Sb (0.3137, 0.0287, 0.7850)
Pb (0.2076, 0.5675, 0.7782)
Pb (0.2076, 0.9294, 0.1401)
Pb (0.6866, 0.9624, 0.2242)
Pb (0.7382, 0.4624, 0.7758)
Pb (0.7893, 0.0675, 0.8599)
Pb (0.7893, 0.4294, 0.2218)

Material: SnSbPb3
Method: DFT, PBE-GGA
State: optimized geometry

Properties
Its crystal system is cubic. The value obtained for the uncorrected formation energy is 2.81 eV per formula unit. The energy above the most stable polymorph in this dataset comes out at 514 meV per atom. The mass density is 7.36 g/cm3. As for the space group: No. 221.

a b c (Å): 5.7935 5.7935 5.7935
angles (deg): 90.00 90.00 90.00
Element x y z (fractional)
Sn (0.0000, 0.0000, 0.0000)
Sb (0.5000, 0.5000, 0.5000)
Pb (0.0000, 0.0000, 0.5000)
Pb (0.0000, 0.5000, 0.0000)
Pb (0.5000, 0.0000, 0.0000)

Material: SnSb2Pb
Method: DFT, PBE-GGA
State: optimized geometry

Properties
Its crystal system is tetragonal. The value obtained for the uncorrected formation energy is 0.51 eV per formula unit. The energy above the most stable polymorph in this dataset comes out at 91 meV per atom. The mass density is 8.17 g/cm3. As for the space group: No. 123.

a b c (Å): 5.1540 5.1540 4.3564
angles (deg): 90.00 90.00 90.00
Element x y z (fractional)
Sn (0.0000, 0.0000, 0.0000)
Sb (0.0000, 0.5000, 0.5000)
Sb (0.5000, 0.0000, 0.5000)
Pb (0.5000, 0.5000, 0.0000)

Material: Sn2SbPb
Method: DFT, PBE-GGA
State: optimized geometry

Properties
Its crystal system is tetragonal. The value obtained for the uncorrected formation energy is 0.62 eV per formula unit. The energy above the most stable polymorph in this dataset comes out at 79 meV per atom. The mass density is 5.77 g/cm3. As for the space group: No. 122.

a b c (Å): 8.4292 8.4292 8.4292
angles (deg): 131.84 131.84 70.48
Element x y z (fractional)
Sn (0.1180, 0.6250, 0.9930)
Sn (0.3750, 0.3680, 0.4930)
Sn (0.6320, 0.1250, 0.0070)
Sn (0.8750, 0.8820, 0.5070)
Sb (0.0000, 0.0000, 0.0000)
Sb (0.7500, 0.2500, 0.5000)
Pb (0.2500, 0.7500, 0.5000)
Pb (0.5000, 0.5000, 0.0000)

no.,DOS(E_F) (states/eV/f.u.),magnetic moment (μB/f.u.),VASP energy (eV for the cell shown)
1,6.19,0.0,-75.284
2,5.36,0.0,-42.099
3,5.23,0.0,-41.426
4,2.52,0.0,-15.534
5,3.14,0.0,-37.018
6,2.30,0.0,-16.438
7,2.29,0.0,-15.444
8,1.58,0.0,-30.438